# 1
Below is a relaxed InAu3Se5 crystal, with properties calculated at the GGA-PBE level.

The space group is P6/mmm (No. 191) and the conventional cell measures 5.6212, 5.6212 and 8.1207 Å, with angles of 90.00, 90.00 and 120.00 degrees. Symmetry generates all atoms from In at (0.0000, 0.0000, 0.0000), Au at (0.0000, 0.5000, 0.5000), Se at (0.0000, 0.0000, 0.5000) and Se at (0.3333, 0.6667, 0.1390).

As for the final energy: -28.50 eV/cell.

***

# 2
Below is a relaxed CoSiP crystal, with properties calculated at the GGA-PBE level.

The space group is P4/nmm (No. 129, origin choice 2) and the conventional cell measures 3.8318, 3.8318 and 5.2243 Å, with angles of 90.00, 90.00 and 90.00 degrees. Symmetry generates all atoms from Co at (0.2500, 0.2500, 0.2403), Si at (0.2500, 0.7500, 0.5000) and P at (0.2500, 0.7500, 0.0000).

As for the final energy: -38.04 eV/cell. Its magnetization is 0.003 Bohr magnetons per cell.

***

# 3
Below is a relaxed KAgPtSe3 crystal, with properties calculated at the GGA-PBE level.

The space group is Pnma (No. 62) and the conventional cell measures 14.3979, 3.9836 and 10.5097 Å, with angles of 90.00, 90.00 and 90.00 degrees. Symmetry generates all atoms from K at (0.1438, 0.2500, 0.0169), Ag at (0.1957, 0.7500, 0.2694), Pt at (0.0435, 0.7500, 0.6402), Se at (0.0199, 0.7500, 0.2302), Se at (0.0970, 0.2500, 0.5032) and Se at (0.1888, 0.7500, 0.7780).

As for the final energy: -93.46 eV/cell. Its energy above the most stable polymorph in this dataset is 0.000 eV/atom. Its magnetization is 0.025 Bohr magnetons per cell.

***

# 4
Below is a relaxed HoB4Pd crystal, with properties calculated at the GGA-PBE level.

The space group is P6/mmm (No. 191) and the conventional cell measures 3.2106, 3.2106 and 6.9202 Å, with angles of 90.00, 90.00 and 120.00 degrees. Symmetry generates all atoms from Ho at (0.0000, 0.0000, 0.0000), B at (0.3333, 0.6667, 0.2672) and Pd at (0.0000, 0.0000, 0.5000).

As for the final energy: -37.89 eV/cell. Its energy above the most stable polymorph in this dataset is 0.023 eV/atom. Its magnetization is 0.003 Bohr magnetons per cell.

***

# 5
Below is a relaxed RbThAs crystal, with properties calculated at the GGA-PBE level.

The space group is F-43m (No. 216) and the conventional cell measures 7.3266, 7.3266 and 7.3266 Å, with angles of 90.00, 90.00 and 90.00 degrees. Symmetry generates all atoms from Rb at (0.0000, 0.0000, 0.0000), Th at (0.0000, 0.0000, 0.5000) and As at (0.2500, 0.2500, 0.2500).

As for the final energy: -50.75 eV/cell. Its magnetization is 0.482 Bohr magnetons per cell.

***

# 6
Below is a relaxed Te3Pd4Br4 crystal, with properties calculated at the GGA-PBE level.

The space group is P-1 (No. 2) and the conventional cell measures 8.5202, 8.5305 and 8.7798 Å, with angles of 82.48, 73.54 and 88.36 degrees. Symmetry generates all atoms from Te at (0.0200, 0.3091, 0.2048), Te at (0.2218, 0.3501, 0.4755), Te at (0.3594, 0.1136, 0.1930), Pd at (0.0767, 0.0140, 0.2027), Pd at (0.0793, 0.7135, 0.4895), Pd at (0.2925, 0.0552, 0.4963), Pd at (0.3156, 0.4238, 0.1629), Br at (0.1590, 0.7187, 0.1808), Br at (0.2162, 0.0407, 0.8015), Br at (0.3720, 0.7647, 0.4889) and Br at (0.3914, 0.4754, 0.8527).

As for the final energy: -81.71 eV/cell.